Material: Tb5Mg4In
Method: DFT, PBE-GGA
State: relaxed

Unit cell a=3.785 b=3.785 c=19.068 alpha=90.00 beta=90.00 gamma=90.00
Space group P4/mmm (No. 123)
One atom of each set of equivalent atoms:
Tb  0.000  0.000  0.000 [1 per cell]
Tb  0.000  0.000  0.201 [2 per cell]
Tb  0.000  0.000  0.400 [2 per cell]
Mg  0.500  0.500  0.100 [2 per cell]
Mg  0.500  0.500  0.299 [2 per cell]
In  0.500  0.500  0.500 [1 per cell]

Computed properties:
- N(E_F) (states/eV per atom) = 1.22
- E (eV/atom) = -3.3981

---

Material: LiNpTc2
Method: DFT, PBE-GGA
State: relaxed

Unit cell a=4.218 b=4.218 c=3.455 alpha=90.00 beta=90.00 gamma=90.00
Space group P4/mmm (No. 123)
One atom of each set of equivalent atoms:
Li  0.000  0.000  0.000 [1 per cell]
Np  0.500  0.500  0.000 [1 per cell]
Tc  0.000  0.500  0.500 [2 per cell]

Computed properties:
- N(E_F) (states/eV per atom) = 1.13
- E (eV/atom) = -8.7040

---

Material: K2CuMo
Method: DFT, PBE-GGA
State: relaxed

Unit cell a=3.0025 b=3.0025 c=34.4753 alpha=90.00 beta=90.00 gamma=120.00
Space group R-3m (No. 166, hexagonal axes)
One atom of each set of equivalent atoms:
K  0.0000  0.0000  0.2455 [6 per cell]
Cu  0.0000  0.0000  0.5000 [3 per cell]
Mo  0.0000  0.0000  0.0000 [3 per cell]

Computed properties:
- N(E_F) (states/eV per atom) = 0.66
- offset from the most stable computed form (meV/atom) = 366
- E (eV/atom) = -3.0485

---

Asked for total magnetization across the records above, the calculation gives 0.0; 0.8; 1.0 μB/cell in order.